1.
Below is Pr2Ga4Cu3Si after structural relaxation, with properties calculated at the PBE-GGA level.

The structure in POSCAR format:
```
Pr2Ga4Cu3Si
1.0
4.198 0.000 0.000
0.000 4.198 0.000
0.000 0.000 10.403
Pr Ga Cu Si
2 4 3 1
Direct
0.000 0.500 0.250
0.500 0.000 0.750
0.000 0.000 0.000
0.000 0.500 0.638
0.500 0.000 0.362
0.500 0.500 0.000
0.000 0.500 0.870
0.500 0.000 0.130
0.500 0.500 0.500
0.000 0.000 0.500
```

Values from the calculation:
E_tot: -44.0 eV for the cell shown
ΔE_f (raw): -0.46 eV/atom


2.
Below is Pr2SmGa2Cu2 after structural relaxation, with properties calculated at the PBE-GGA level.

The structure in POSCAR format:
```
Pr2SmGa2Cu2
1.0
2.222 1.283 9.534
-2.222 1.283 9.534
0.000 -2.565 9.534
Pr Sm Ga Cu
2 1 2 2
Direct
0.124 0.124 0.124
0.876 0.876 0.876
0.000 0.000 0.000
0.268 0.268 0.268
0.732 0.732 0.732
0.394 0.394 0.394
0.606 0.606 0.606
```

Values from the calculation:
Energy of formation from the pure elements: -2.621 eV per formula unit
E_tot: -31.1 eV for the cell shown


3.
Below is Pr2Ga4Cu3Sn after structural relaxation, with properties calculated at the PBE-GGA level.

The structure in POSCAR format:
```
Pr2Ga4Cu3Sn
1.0
4.267 0.000 0.000
0.000 4.267 0.000
0.000 0.000 10.686
Pr Ga Cu Sn
2 4 3 1
Direct
0.000 0.500 0.237
0.500 0.000 0.763
0.000 0.000 0.000
0.000 0.500 0.657
0.500 0.000 0.343
0.500 0.500 0.000
0.000 0.500 0.880
0.500 0.000 0.120
0.500 0.500 0.500
0.000 0.000 0.500
```

Values from the calculation:
Energy of formation from the pure elements: -4.585 eV per formula unit
E_tot: -42.5 eV for the cell shown


4.
Below is TbPr2Ga2Cu2 after structural relaxation, with properties calculated at the PBE-GGA level.

The structure in POSCAR format:
```
TbPr2Ga2Cu2
1.0
2.208 1.275 9.524
-2.208 1.275 9.524
0.000 -2.549 9.524
Tb Pr Ga Cu
1 2 2 2
Direct
0.000 0.000 0.000
0.123 0.123 0.123
0.877 0.877 0.877
0.270 0.270 0.270
0.730 0.730 0.730
0.391 0.391 0.391
0.609 0.609 0.609
```

Values from the calculation:
Energy of formation from the pure elements: -2.700 eV per formula unit
E_tot: -31.1 eV for the cell shown


Question: E_tot of number 1 (Pr2Ga4Cu3Si)?
Answer: -44.0 eV for the cell shown